The following is a PBE-GGA calculation of GaFe2ReH after structural relaxation, from Alexandria via LeMat-Bulk.

The value obtained for the total magnetization is 5.4 μB per formula unit. The excess energy over the best structure of this formula in the dataset is 0.000 eV/f.u. As for the density of states at the Fermi level: 3.45 states/eV/f.u.

It has space group P4/mmm (No. 123), with a = 3.7618 Å, b = 3.7618 Å, c = 3.9103 Å, α = 90.00°, β = 90.00° and γ = 90.00°. The asymmetric unit holds Ga at (0.0000, 0.0000, 0.0000), Fe at (0.0000, 0.5000, 0.5000), Re at (0.5000, 0.5000, 0.0000) and H at (0.5000, 0.5000, 0.5000).

=====

The following is a PBE-GGA calculation of RbEuSn4 after structural relaxation, from Alexandria via LeMat-Bulk.

The value obtained for the total magnetization is 6.8 μB per formula unit. As for the density of states at the Fermi level: 14.31 states/eV/f.u.

It has space group F-43m (No. 216), with a = 9.0876 Å, b = 9.0876 Å, c = 9.0876 Å, α = 90.00°, β = 90.00° and γ = 90.00°. The asymmetric unit holds Rb at (0.0000, 0.0000, 0.0000), Eu at (0.2500, 0.2500, 0.7500) and Sn at (0.1244, 0.1244, 0.3756).

=====

The following is a PBE-GGA calculation of Pr3Nd5Co2 after structural relaxation, from Alexandria via LeMat-Bulk.

The value obtained for the total magnetization is 0.0 μB per formula unit. As for the density of states at the Fermi level: 12.70 states/eV/f.u.

It has space group Ibam (No. 72), with a = 10.5425 Å, b = 15.1773 Å, c = 7.9481 Å, α = 90.00°, β = 90.00° and γ = 90.00°. The asymmetric unit holds Pr at (0.0000, 0.0000, 0.2500), Pr at (0.2397, 0.3646, 0.0000), Nd at (0.0000, 0.2525, 0.2500), Nd at (0.0000, 0.5000, 0.2500), Nd at (0.2422, 0.3854, 0.5000) and Co at (0.0007, 0.1322, 0.0000).

=====

The following is a PBE-GGA calculation of BaCr4Te after structural relaxation, from Alexandria via LeMat-Bulk.

The value obtained for the total magnetization is 17.6 μB per formula unit. As for the density of states at the Fermi level: 7.92 states/eV/f.u.

It has space group F-43m (No. 216), with a = 8.3350 Å, b = 8.3350 Å, c = 8.3350 Å, α = 90.00°, β = 90.00° and γ = 90.00°. The asymmetric unit holds Ba at (0.0000, 0.0000, 0.0000), Cr at (0.1238, 0.1238, 0.6238) and Te at (0.2500, 0.2500, 0.2500).

=====

The following is a PBE-GGA calculation of Y2ZrHg after structural relaxation, from Alexandria via LeMat-Bulk.

The value obtained for the total magnetization is 0.0 μB per formula unit. As for the density of states at the Fermi level: 5.49 states/eV/f.u.

It has space group R-3m (No. 166, hexagonal axes), with a = 3.5079 Å, b = 3.5079 Å, c = 30.7935 Å, α = 90.00°, β = 90.00° and γ = 120.00°. The asymmetric unit holds Y at (0.0000, 0.0000, 0.2473), Zr at (0.0000, 0.0000, 0.0000) and Hg at (0.0000, 0.0000, 0.5000).

=====

The following is a PBE-GGA calculation of Rb4Pr3NpTe8 after structural relaxation, from Alexandria via LeMat-Bulk.

The value obtained for the total magnetization is 4.0 μB per formula unit. As for the density of states at the Fermi level: 5.71 states/eV/f.u.

It has space group R-3m (No. 166, hexagonal axes), with a = 9.3415 Å, b = 9.3415 Å, c = 25.6570 Å, α = 90.00°, β = 90.00° and γ = 120.00°. The asymmetric unit holds Rb at (0.0000, 0.0000, 0.0000), Rb at (0.0000, 0.5000, 0.0000), Pr at (0.0000, 0.5000, 0.5000), Np at (0.0000, 0.0000, 0.5000), Te at (0.0000, 0.0000, 0.2357) and Te at (0.0039, 0.5019, 0.2346).

=====

The following is a PBE-GGA calculation of Tc2Au after structural relaxation, from Alexandria via LeMat-Bulk.

The value obtained for the total magnetization is 0.0 μB per formula unit. The excess energy over the best structure of this formula in the dataset is 1.284 eV/f.u. As for the density of states at the Fermi level: 2.97 states/eV/f.u.

It has space group Imma (No. 74), with a = 2.7607 Å, b = 4.3004 Å, c = 17.0535 Å, α = 90.00°, β = 90.00° and γ = 90.00°. The asymmetric unit holds Tc at (0.0000, 0.2500, 0.0365), Tc at (0.0000, 0.2500, 0.1888) and Au at (0.0000, 0.2500, 0.6255).

=====

The following is a PBE-GGA calculation of Cs2NiCl4 after structural relaxation, from Alexandria via LeMat-Bulk.

The value obtained for the total magnetization is 1.6 μB per formula unit. The excess energy over the best structure of this formula in the dataset is 0.315 eV/f.u. As for the density of states at the Fermi level: 2.57 states/eV/f.u.

It has space group I4/mmm (No. 139), with a = 5.0699 Å, b = 5.0699 Å, c = 16.7240 Å, α = 90.00°, β = 90.00° and γ = 90.00°. The asymmetric unit holds Cs at (0.0000, 0.0000, 0.1429), Ni at (0.0000, 0.0000, 0.5000), Cl at (0.0000, 0.0000, 0.3593) and Cl at (0.0000, 0.5000, 0.0000).

=====

The following is a PBE-GGA calculation of BaNi2Br after structural relaxation, from Alexandria via LeMat-Bulk.

The value obtained for the total magnetization is 0.9 μB per formula unit. The excess energy over the best structure of this formula in the dataset is 0.234 eV/f.u. As for the density of states at the Fermi level: 4.58 states/eV/f.u.

It has space group C2/m (No. 12), with a = 11.2795 Å, b = 3.9472 Å, c = 5.5475 Å, α = 90.00°, β = 112.65° and γ = 90.00°. The asymmetric unit holds Ba at (0.0000, 0.0000, 0.0000), Ni at (0.2065, 0.5000, 0.8977) and Br at (0.0000, 0.5000, 0.5000).

=====

The following is a PBE-GGA calculation of BeNbH after structural relaxation, from Alexandria via LeMat-Bulk.

The value obtained for the total magnetization is 0.0 μB per formula unit. The excess energy over the best structure of this formula in the dataset is 0.251 eV/f.u. As for the density of states at the Fermi level: 0.38 states/eV/f.u.

It has space group Pm (No. 6), with a = 3.4516 Å, b = 3.4878 Å, c = 5.0271 Å, α = 90.00°, β = 110.01° and γ = 90.00°. The asymmetric unit holds Be at (0.0000, 0.0000, 0.0000), Be at (0.1318, 0.5000, 0.2659), Nb at (0.4165, 0.5000, 0.8339), Nb at (0.7167, 0.0000, 0.4366), H at (0.6201, 0.5000, 0.2366) and H at (0.8221, 0.5000, 0.6443).

=====

The following is a PBE-GGA calculation of Li2DySc2Tl2 after structural relaxation, from Alexandria via LeMat-Bulk.

The value obtained for the total magnetization is 0.0 μB per formula unit. As for the density of states at the Fermi level: 5.02 states/eV/f.u.

It has space group R-3m (No. 166, hexagonal axes), with a = 4.7132 Å, b = 4.7132 Å, c = 25.5116 Å, α = 90.00°, β = 90.00° and γ = 120.00°. The asymmetric unit holds Li at (0.0000, 0.0000, 0.0872), Dy at (0.0000, 0.0000, 0.5000), Sc at (0.0000, 0.0000, 0.3688) and Tl at (0.0000, 0.0000, 0.2434).

=====

The following is a PBE-GGA calculation of RbBa after structural relaxation, from Alexandria via LeMat-Bulk.

The value obtained for the total magnetization is 0.0 μB per formula unit. As for the density of states at the Fermi level: 2.30 states/eV/f.u.

It has space group Imm2 (No. 44), with a = 7.5139 Å, b = 13.0606 Å, c = 9.1666 Å, α = 90.00°, β = 90.00° and γ = 90.00°. The asymmetric unit holds Rb at (0.0000, 0.0000, 0.0000), Rb at (0.0000, 0.3408, 0.7505), Ba at (0.0000, 0.0000, 0.5116) and Ba at (0.0000, 0.3321, 0.2443).

=====

| no. | energy (eV per cell) |
| --- | --- |
| 1 | -35.3 |
| 2 | -115.6 |
| 3 | -208.2 |
| 4 | -152.7 |
| 5 | -66.4 |
| 6 | -230.0 |
| 7 | -89.4 |
| 8 | -48.6 |
| 9 | -31.2 |
| 10 | -35.9 |
| 11 | -80.9 |
| 12 | -15.3 |